Record 1
Entry from the Alexandria database: a relaxed structure of Pu6Pd23 (PBE).

Calculated values
**Total moment**: 30.3 μB/f.u.
**E**: -7.457 eV/atom

a b c (Å): 12.881 12.881 12.881
angles (deg): 90.00 90.00 90.00
Space group Fm-3m (No. 225)
Asymmetric unit:
Pu 0.000 0.000 0.220 x24
Pd 0.000 0.000 0.500 x4
Pd 0.000 0.250 0.250 x24
Pd 0.120 0.120 0.380 x32
Pd 0.167 0.167 0.167 x32

=====

Record 2
Entry from the Alexandria database: a relaxed structure of Pu2Pd17 (PBE).

Calculated values
**Total moment**: 8.9 μB/f.u.
**E**: -6.336 eV/atom

a b c (Å): 9.1426 9.1426 13.5975
angles (deg): 90.00 90.00 120.00
Space group R-3m (No. 166, hexagonal axes)
Asymmetric unit:
Pu 0.0000 0.0000 0.1706 x6
Pd 0.0000 0.0000 0.3995 x6
Pd 0.0000 0.3063 0.5000 x18
Pd 0.0000 0.5000 0.0000 x9
Pd 0.0056 0.5028 0.6539 x18

=====

Record 3
Entry from the Alexandria database: a relaxed structure of PuPd6 (PBE).

Calculated values
**Total moment**: 4.3 μB/f.u.
**E**: -6.769 eV/atom

a b c (Å): 10.818 9.359 4.836
angles (deg): 90.00 90.00 90.00
Space group Pnma (No. 62)
Asymmetric unit:
Pu 0.131 0.250 0.004 x4
Pd 0.042 0.750 0.409 x4
Pd 0.058 0.521 0.758 x8
Pd 0.191 0.517 0.280 x8
Pd 0.202 0.750 0.929 x4

=====

Record 4
Entry from the Alexandria database: a relaxed structure of Pu6Pd5 (PBE).

Calculated values
**Total moment**: 34.5 μB/f.u.
**E**: -10.473 eV/atom

a b c (Å): 4.900 7.088 14.675
angles (deg): 90.00 90.00 90.00
Space group Immm (No. 71)
Asymmetric unit:
Pu 0.000 0.244 0.000 x4
Pu 0.000 0.255 0.339 x8
Pd 0.000 0.000 0.174 x4
Pd 0.000 0.000 0.500 x2
Pd 0.000 0.500 0.169 x4

=====

Record 5
Entry from the Alexandria database: a relaxed structure of PuPd (PBE).

Calculated values
**Total moment**: 5.7 μB/f.u.
**E**: -10.168 eV/atom

a b c (Å): 7.287 4.347 5.801
angles (deg): 90.00 90.00 90.00
Space group Pnma (No. 62)
Asymmetric unit:
Pu 0.176 0.250 0.133 x4
Pd 0.045 0.250 0.645 x4

=====

Record 6
Entry from the Alexandria database: a relaxed structure of RbPuPd (PBE).

Calculated values
**Total moment**: 0.0 μB/f.u.
**E**: -6.666 eV/atom

a b c (Å): 5.351 4.303 14.559
angles (deg): 90.00 96.56 90.00
Space group C2/m (No. 12)
Asymmetric unit:
Rb 0.245 0.000 0.159 x4
Pu 0.201 0.500 0.540 x4
Pd 0.218 0.000 0.666 x4

=====

Record 7
Entry from the Alexandria database: a relaxed structure of RbPuPdS3 (PBE).

Calculated values
**Total moment**: 3.9 μB/f.u.
**Formation energy from raw total energies**: -1.159 eV per atom

a b c (Å): 8.808 4.098 9.498
angles (deg): 90.00 108.94 90.00
Space group P2_1/m (No. 11)
Asymmetric unit:
Rb 0.205 0.250 0.243 x2
Pu 0.322 0.750 0.848 x2
Pd 0.089 0.250 0.588 x2
S 0.132 0.250 0.865 x2
S 0.207 0.750 0.551 x2
S 0.468 0.750 0.148 x2

=====

Record 8
Entry from the Alexandria database: a relaxed structure of Rb3Pu3PdS8 (PBE).

Calculated values
**Total moment**: 13.0 μB/f.u.
**Formation energy from raw total energies**: -1.286 eV per atom

a b c (Å): 14.293 7.751 9.107
angles (deg): 90.00 122.41 90.00
Space group C2/m (No. 12)
Asymmetric unit:
Rb 0.000 0.000 0.000 x2
Rb 0.250 0.250 0.000 x4
Pu 0.000 0.500 0.500 x2
Pu 0.250 0.250 0.500 x4
Pd 0.000 0.000 0.500 x2
S 0.022 0.223 0.335 x8
S 0.211 0.500 0.276 x4
S 0.229 0.500 0.692 x4